[1]
{"formula": "TcAs2P", "functional": "PBE", "state": "optimized geometry", "lattice_angstrom": [[3.073, 0.000, 0.000], [0.000, 3.074, 0.000], [0.000, 0.000, 7.206]], "species": ["P", "As", "As", "Tc"], "fractional_positions": [[0.000, 0.000, 0.530], [0.000, 0.000, 0.934], [0.500, 0.500, 0.328], [0.500, 0.500, 0.708]], "energy_ev_per_atom": -6.29, "spacegroup": "P4mm", "ef_ev_per_atom": -0.022}

=====

[2]
{"formula": "Pm12Tm2Sc", "functional": "PBE", "state": "optimized geometry", "lattice_angstrom": [[6.511, 0.000, 0.000], [0.000, 6.511, 0.000], [0.000, 0.000, 25.055]], "species": ["Tm", "Tm", "Tm", "Tm", "Sc", "Sc", "Pm", "Pm", "Pm", "Pm", "Pm", "Pm", "Pm", "Pm", "Pm", "Pm", "Pm", "Pm", "Pm", "Pm", "Pm", "Pm", "Pm", "Pm", "Pm", "Pm", "Pm", "Pm", "Pm", "Pm"], "fractional_positions": [[0.500, 0.000, 0.269], [0.000, 0.500, 0.269], [0.000, 0.500, 0.731], [0.500, 0.000, 0.731], [0.500, 0.000, 0.000], [0.000, 0.500, 0.000], [0.500, 0.500, 0.666], [0.684, 0.816, 0.109], [0.332, 0.832, 0.437], [0.668, 0.168, 0.437], [0.000, 0.000, 0.666], [0.668, 0.832, 0.563], [0.184, 0.684, 0.109], [0.184, 0.316, 0.891], [0.816, 0.684, 0.891], [0.816, 0.316, 0.109], [0.316, 0.184, 0.109], [0.832, 0.332, 0.563], [0.168, 0.332, 0.437], [0.000, 0.000, 0.789], [0.832, 0.668, 0.437], [0.500, 0.500, 0.334], [0.500, 0.500, 0.211], [0.000, 0.000, 0.211], [0.168, 0.668, 0.563], [0.000, 0.000, 0.334], [0.316, 0.816, 0.891], [0.684, 0.184, 0.891], [0.500, 0.500, 0.789], [0.332, 0.168, 0.563]], "energy_ev_per_atom": -4.47, "spacegroup": "P4/nbm", "ef_ev_per_atom": 0.346}

=====

[3]
{"formula": "NdTmTlHg", "functional": "PBE", "state": "optimized geometry", "lattice_angstrom": [[3.778, 0.000, 0.000], [0.000, 3.778, 0.000], [0.000, 0.000, 7.671]], "species": ["Tl", "Hg", "Tm", "Nd"], "fractional_positions": [[0.000, 0.000, 0.841], [0.000, 0.000, 0.380], [0.500, 0.500, 0.594], [0.500, 0.500, 0.114]], "energy_ev_per_atom": -3.39, "relative_energy_mev_per_atom": 0, "spacegroup": "P4mm", "ef_ev_per_atom": -0.415}

=====

[4]
{"formula": "Sr2Hg", "functional": "PBE", "state": "optimized geometry", "lattice_angstrom": [[7.655, -0.050, -0.007], [6.476, 4.082, -0.007], [0.008, 0.002, 7.812]], "species": ["Sr", "Sr", "Sr", "Sr", "Hg", "Hg"], "fractional_positions": [[0.616, 0.616, 0.210], [0.923, 0.923, 0.532], [0.661, 0.661, 0.710], [0.355, 0.355, 0.032], [0.025, 0.025, 0.925], [0.253, 0.253, 0.425]], "energy_ev_per_atom": -1.58, "spacegroup": "Cmc2_1", "ef_ev_per_atom": -0.358}